Record 1
RbGa2Br8: optimized geometry, PBE.

E_form (uncorrected) = -934 kJ/mol of formula units
Energy relative to the lowest polymorph listed for this composition = 0 meV per atom

Unit cell a=7.4773 b=9.1169 c=9.1169 alpha=61.16 beta=73.38 gamma=73.38
Each line ends with the local moment (μB).
Atoms (fractional coordinates):
Rb1 0.0000 0.0000 0.0000  0.00
Ga1 0.6743 0.8189 0.8189  0.00
Ga2 0.3257 0.1811 0.1811  0.00
Br1 0.2930 0.3024 0.8900  0.07
Br2 0.7070 0.1100 0.6976  0.07
Br3 0.3834 0.7940 0.7940  0.00
Br4 0.6166 0.2060 0.2060  0.00
Br5 0.2930 0.8900 0.3024  0.07
Br6 0.7070 0.6976 0.1100  0.07
Br7 0.9372 0.6851 0.6851  0.05
Br8 0.0628 0.3149 0.3149  0.05



Record 2
Rb2Ga2Br7: optimized geometry, PBE.

E_form (uncorrected) = -1170 kJ/mol of formula units
Energy relative to the lowest polymorph listed for this composition = 3 meV per atom

Unit cell a=6.8061 b=8.6960 c=8.6960 alpha=100.33 beta=96.96 gamma=96.96
Each line ends with the local moment (μB).
Atoms (fractional coordinates):
Rb1 0.0000 0.2907 0.7093  0.00
Rb2 0.0000 0.7093 0.2907  0.00
Ga1 0.4227 0.2179 0.2179  0.10
Ga2 0.5773 0.7821 0.7821  0.10
Br1 0.7677 0.9025 0.6033  0.03
Br2 0.2323 0.3967 0.0975  0.03
Br3 0.2323 0.0975 0.3967  0.03
Br4 0.7677 0.6033 0.9025  0.03
Br5 0.5000 0.0000 0.0000  0.01
Br6 0.2741 0.6276 0.6276  0.03
Br7 0.7259 0.3724 0.3724  0.03



Record 3
Rb2GaReBr6: optimized geometry, PBE.

E_form (uncorrected) = -780 kJ/mol of formula units

Unit cell a=7.8221 b=7.8221 c=7.8223 alpha=60.00 beta=60.00 gamma=90.00
Each line ends with the local moment (μB).
Atoms (fractional coordinates):
Re1 0.0000 0.0000 0.0000  1.55
Ga1 0.5000 0.5000 0.0000  -0.01
Br1 0.2318 0.2318 0.5364  0.03
Br2 0.7682 0.7682 0.4636  0.03
Br3 0.2317 0.2317 0.0000  0.03
Br4 0.7683 0.7683 0.0000  0.03
Br5 0.7683 0.2317 0.0000  0.03
Br6 0.2317 0.7683 0.0000  0.03
Rb1 0.7500 0.2500 0.5000  0.00
Rb2 0.2500 0.7500 0.5000  0.00



Record 4
Rb2GaSBr6: optimized geometry, PBE.

E_form (uncorrected) = -801 kJ/mol of formula units

Unit cell a=7.4644 b=7.4644 c=7.9517 alpha=62.01 beta=62.01 gamma=90.00
Atoms (fractional coordinates):
S1 0.5000 0.5000 0.0000
Ga1 0.0000 0.0000 0.0000
Br1 0.2170 0.2170 0.5659
Br2 0.7830 0.7830 0.4341
Br3 0.2563 0.2563 0.0000
Br4 0.7437 0.7437 0.0000
Br5 0.7437 0.2563 0.0000
Br6 0.2563 0.7437 0.0000
Rb1 0.7500 0.2500 0.5000
Rb2 0.2500 0.7500 0.5000



Record 5
Rb2GaSbBr6: optimized geometry, PBE.

E_form (uncorrected) = -1040 kJ/mol of formula units

Unit cell a=8.1258 b=8.1258 c=8.1234 alpha=59.99 beta=59.99 gamma=90.00
Atoms (fractional coordinates):
Sb1 0.0000 0.0000 0.0000
Ga1 0.5000 0.5000 0.0000
Br1 0.2459 0.2459 0.5082
Br2 0.7541 0.7541 0.4918
Br3 0.2457 0.2457 0.0000
Br4 0.7543 0.7543 0.0000
Br5 0.7543 0.2457 0.0000
Br6 0.2457 0.7543 0.0000
Rb1 0.7500 0.2500 0.5000
Rb2 0.2500 0.7500 0.5000



Record 6
RbScGa2Br6: optimized geometry, PBE.

E_form (uncorrected) = -1204 kJ/mol of formula units

Unit cell a=7.7575 b=7.7594 c=8.2632 alpha=61.95 beta=61.93 gamma=59.89
Atoms (fractional coordinates):
Rb1 0.8145 0.8150 0.5554
Sc1 0.3263 0.3261 0.0212
Ga1 0.5161 0.5158 0.4526
Ga2 0.0063 0.0066 0.9808
Br1 0.5476 0.2532 0.2268
Br2 0.2531 0.9722 0.2272
Br3 0.9717 0.5485 0.2267
Br4 0.3754 0.6971 0.7745
Br5 0.6979 0.1518 0.7750
Br6 0.1526 0.3754 0.7750



Record 7
Rb2ScGaBr6: optimized geometry, PBE.

E_form (uncorrected) = -1462 kJ/mol of formula units

Unit cell a=8.0969 b=8.0985 c=7.8673 alpha=59.02 beta=59.01 gamma=60.00
Atoms (fractional coordinates):
Rb1 0.5609 0.5607 0.3177
Rb2 0.0709 0.0713 0.7868
Sc1 0.3161 0.3161 0.0516
Ga1 0.8158 0.8158 0.5523
Br1 0.5394 0.1510 0.2927
Br2 0.1512 0.0167 0.2934
Br3 0.0170 0.5385 0.2936
Br4 0.4809 0.6159 0.8090
Br5 0.6157 0.0944 0.8087
Br6 0.0938 0.4812 0.8094



Record 8
RbGaSe2Br: optimized geometry, PBE.

E_form (uncorrected) = 194 kJ/mol of formula units
Energy relative to the lowest polymorph listed for this composition = 987 meV per atom

Unit cell a=6.2950 b=6.2950 c=6.3398 alpha=90.00 beta=90.00 gamma=90.00
Each line ends with the local moment (μB).
Atoms (fractional coordinates):
Ga1 0.5000 0.5000 0.5000  -0.01
Se1 0.0000 0.5000 0.0000  0.82
Se2 0.5000 0.0000 0.0000  0.82
Br1 0.0000 0.0000 0.5000  0.14
Rb1 0.0000 0.0000 0.0000  0.04



Record 9
RbGaSe2Br: optimized geometry, PBE.

E_form (uncorrected) = -282 kJ/mol of formula units
Energy relative to the lowest polymorph listed for this composition = 0 meV per atom

Unit cell a=5.0225 b=5.0225 c=5.9121 alpha=90.00 beta=90.00 gamma=90.00
Each line ends with the local moment (μB).
Atoms (fractional coordinates):
Ga1 0.0000 0.0000 0.0000  0.01
Se1 0.0000 0.5000 0.0000  0.12
Se2 0.5000 0.0000 0.0000  0.12
Br1 0.0000 0.0000 0.5000  0.01
Rb1 0.5000 0.5000 0.5000  0.00



Record 10
RbGaSeBr2: optimized geometry, PBE.

E_form (uncorrected) = -4 kJ/mol of formula units
Energy relative to the lowest polymorph listed for this composition = 823 meV per atom

Unit cell a=6.4231 b=6.4231 c=6.2176 alpha=90.00 beta=90.00 gamma=90.00
Each line ends with the local moment (μB).
Atoms (fractional coordinates):
Ga1 0.5000 0.5000 0.5000  -0.01
Se1 0.0000 0.0000 0.5000  0.93
Br1 0.0000 0.5000 0.0000  0.16
Br2 0.5000 0.0000 0.0000  0.16
Rb1 0.0000 0.0000 0.0000  0.03



Record 11
RbGaSeBr2: optimized geometry, PBE.

E_form (uncorrected) = -401 kJ/mol of formula units
Energy relative to the lowest polymorph listed for this composition = 0 meV per atom

Unit cell a=5.5289 b=5.5289 c=4.9809 alpha=90.00 beta=90.00 gamma=90.00
Atoms (fractional coordinates):
Ga1 0.0000 0.0000 0.0000
Se1 0.0000 0.0000 0.5000
Br1 0.0000 0.5000 0.0000
Br2 0.5000 0.0000 0.0000
Rb1 0.5000 0.5000 0.5000



Record 12
RbGaSe2Br: optimized geometry, PBE.

E_form (uncorrected) = -221 kJ/mol of formula units
Energy relative to the lowest polymorph listed for this composition = 126 meV per atom

Unit cell a=4.8871 b=10.8759 c=4.8871 alpha=90.00 beta=90.00 gamma=90.00
Each line ends with the local moment (μB).
Atoms (fractional coordinates):
Ga1 0.0000 0.0000 0.0000  0.02
Se1 0.0000 0.0000 0.5000  0.07
Se2 0.5000 0.0000 0.0000  0.09
Br1 0.5000 0.5000 0.5000  -0.04
Rb1 0.0000 0.5000 0.0000  0.00



Number 1: calculated total energy -0.201 Ry per atom. Number 2: calculated total energy -0.213 Ry per atom. Number 3: calculated total energy -0.261 Ry per atom. Number 4: calculated total energy -0.202 Ry per atom. Number 5: calculated total energy -0.220 Ry per atom. Number 6: calculated total energy -0.264 Ry per atom. Number 7: calculated total energy -0.268 Ry per atom. Number 8: calculated total energy -0.156 Ry per atom. Number 9: calculated total energy -0.229 Ry per atom. Number 10: calculated total energy -0.160 Ry per atom. Number 11: calculated total energy -0.220 Ry per atom. Number 12: calculated total energy -0.219 Ry per atom.